(1)
VASP calculation (PBE) on an optimized crystal structure of Na2Sb2As.

Computed properties:
- Size of the total moment: 0.000 μB/f.u.
- Electronic total energy: -0.1217 hartree per atom
- E above lowest polymorph: 0.000 eV/atom

Unit cell a=5.3939 b=6.4101 c=9.5922 alpha=85.61 beta=73.67 gamma=65.12
Last column: nearest neighbours and their distance in Å.
Fractional coordinates of all 10 atoms:
1 As 0.2533 0.8476 0.6458  4 Sb 2.77-2.96
2 As 0.7467 0.1524 0.3542  4 Sb 2.77-2.96
3 Sb 0.1420 0.2393 0.4766  3 As 2.82-2.96, 1 Sb 3.04
4 Sb 0.8580 0.7607 0.5234  3 As 2.82-2.96, 1 Sb 3.04
5 Sb 0.9784 0.1609 0.8823  1 As 2.77, 1 Sb 2.93
6 Sb 0.0216 0.8391 0.1177  1 As 2.77, 1 Sb 2.93
7 Na 0.6836 0.7463 0.8866  6 Sb 3.35-3.62, 1 Na 3.53, 2 As 3.56
8 Na 0.4879 0.3202 0.7041  2 As 3.14-3.32, 4 Sb 3.31-3.43
9 Na 0.3164 0.2537 0.1134  6 Sb 3.35-3.62, 1 Na 3.53, 2 As 3.56
10 Na 0.5121 0.6798 0.2959  2 As 3.14-3.32, 4 Sb 3.31-3.43


(2)
VASP calculation (PBE) on an optimized crystal structure of Bi3PdSe.

Computed properties:
- Size of the total moment: 0.000 μB/f.u.
- Electronic total energy: -0.1363 hartree per atom
- E above lowest polymorph: 0.000 eV/atom

Unit cell a=5.3774 b=5.3774 c=5.3774 alpha=90.00 beta=90.00 gamma=90.00
Last column: nearest neighbours and their distance in Å.
Fractional coordinates of all 5 atoms:
1 Se 0.5000 0.5000 0.5000  12 Bi 3.80
2 Pd 0.0000 0.0000 0.0000  6 Bi 2.69
3 Bi 0.0000 0.0000 0.5000  2 Pd 2.69
4 Bi 0.5000 0.0000 0.0000  2 Pd 2.69
5 Bi 0.0000 0.5000 0.0000  2 Pd 2.69